*1*
This record from the Alexandria database describes crystalline Ac8In2Hg at its relaxed geometry. The functional is GGA-PBE.

Total magnetization in μB/cell: 0.0
Fermi-level density of states in states/eV/cell: 12.6
Space group: C2/m, No. 12

Unit cell a=5.6889 b=7.5988 c=10.6998 alpha=102.28 beta=105.42 gamma=90.00
Closest atoms and distances in Å follow each position.
Fractional coordinates of all 11 atoms:
Ac1 0.4070 0.5375 0.8141  1 Hg 3.61, 2 In 3.81, 6 Ac 3.81-4.03
Ac2 0.6577 0.9725 0.3154  1 Hg 3.31, 3 In 3.45-3.47
Ac3 0.7932 0.6924 0.5863  3 In 3.43-3.67, 2 Ac 3.80
Ac4 0.9812 0.2321 0.9624  2 Hg 3.41, 1 In 3.50, 1 Ac 3.78
Ac5 0.2068 0.3076 0.4137  3 In 3.43-3.67, 2 Ac 3.80
Ac6 0.3423 0.0275 0.6846  1 Hg 3.31, 3 In 3.45-3.47
Ac7 0.5930 0.4625 0.1859  1 Hg 3.61, 2 In 3.81, 6 Ac 3.81-4.03
Ac8 0.0188 0.7679 0.0376  2 Hg 3.41, 1 In 3.50, 1 Ac 3.78
In1 0.8140 0.2573 0.6281  9 Ac 3.43-3.81
In2 0.1860 0.7427 0.3719  9 Ac 3.43-3.81
Hg1 0.5000 0.0000 0.0000  8 Ac 3.31-3.61


*2*
This record from the Alexandria database describes crystalline Ac8In2Hg at its relaxed geometry. The functional is GGA-PBE.

Total magnetization in μB/cell: 0.0
Fermi-level density of states in states/eV/cell: 13.0
Space group: Immm, No. 71

Unit cell a=5.5432 b=9.7922 c=9.6961 alpha=120.33 beta=106.61 gamma=90.00
Closest atoms and distances in Å follow each position.
Fractional coordinates of all 11 atoms:
Ac1 0.6581 0.8821 0.3162  3 In 3.55-3.59, 1 Hg 3.68, 5 Ac 3.76-3.89
Ac2 0.3419 0.5659 0.6837  3 In 3.55-3.59, 1 Hg 3.68, 5 Ac 3.76-3.89
Ac3 0.1384 0.1383 0.2767  2 Hg 3.53, 2 In 3.81, 8 Ac 3.85-3.89
Ac4 0.0000 0.3231 0.0000  7 Ac 3.46-3.85, 2 In 3.55
Ac5 0.8616 0.8617 0.7233  2 Hg 3.53, 2 In 3.81, 8 Ac 3.85-3.89
Ac6 0.6581 0.4341 0.3163  3 In 3.55-3.59, 1 Hg 3.68, 5 Ac 3.76-3.89
Ac7 0.3419 0.1179 0.6838  3 In 3.55-3.59, 1 Hg 3.68, 5 Ac 3.76-3.89
Ac8 0.0000 0.6769 0.0000  7 Ac 3.46-3.85, 2 In 3.55
In1 0.1963 0.6963 0.3926  10 Ac 3.55-3.81
In2 0.8037 0.3037 0.6074  10 Ac 3.55-3.81
Hg1 0.5000 0.0000 0.0000  8 Ac 3.53-3.68


The structure with the most favorable energy is *1*; the runner-up is 62 meV/atom above it.